Compound: TiAg2Pb
Source: Alexandria via LeMat-Bulk
Functional: PBE-GGA
Structure: relaxed

Its volume is 78.9 Å³ per cell. As for the size of the total moment: 0.000 μB/atom. Its formation energy is 0.09 eV/atom.

It has space group P4/mmm (No. 123), with a = 4.0996 Å, b = 4.0996 Å, c = 4.6939 Å, α = 90.00°, β = 90.00° and γ = 90.00°. The asymmetric unit holds Ti at (0.0000, 0.0000, 0.0000), Ag at (0.0000, 0.5000, 0.5000) and Pb at (0.5000, 0.5000, 0.0000).



Compound: TiAg2Pb2
Source: Alexandria via LeMat-Bulk
Functional: PBE-GGA
Structure: relaxed

Its volume is 230.6 Å³ per cell. As for the size of the total moment: 0.000 μB/atom. Its formation energy is 0.33 eV/atom. The value obtained for the polymorph energy (0 for the lowest one) is 13 kJ/mol of formula units.

It has space group P4/mbm (No. 127), with a = 8.1310 Å, b = 8.1310 Å, c = 3.4881 Å, α = 90.00°, β = 90.00° and γ = 90.00°. The asymmetric unit holds Ti at (0.0000, 0.0000, 0.0000), Ag at (0.1292, 0.3708, 0.5000) and Pb at (0.1707, 0.6707, 0.0000).